Record 1
Entry from Alexandria: a geometry-optimized AlFeW structure (PBE-GGA).

a b c (Å): 5.278 5.278 5.278
angles (deg): 148.50 148.50 45.15
Fractional coordinates of all 3 atoms:
Fe1 0.337 0.337 0.000
W1 0.677 0.677 0.000
Al1 0.985 0.985 0.000

Results
theoretical density: 11.067 g cm⁻³
calculated formation energy: -0.147 eV/atom


Record 2
Entry from Alexandria: a geometry-optimized TbTlCuPd structure (PBE-GGA).

a b c (Å): 4.823 4.823 4.823
angles (deg): 60.00 60.00 60.00
Fractional coordinates of all 4 atoms:
Tl1 0.500 0.500 0.500
Tb1 0.000 0.000 0.000
Cu1 0.750 0.750 0.750
Pd1 0.250 0.250 0.250

Results
theoretical density: 11.164 g cm⁻³
calculated formation energy: -0.385 eV/atom


Record 3
Entry from Alexandria: a geometry-optimized Ca2TiCu structure (PBE-GGA).

a b c (Å): 5.264 5.264 5.264
angles (deg): 60.00 60.00 60.00
Fractional coordinates of all 4 atoms:
Ca1 0.250 0.250 0.250
Ca2 0.750 0.750 0.750
Cu1 0.500 0.500 0.500
Ti1 0.000 0.000 0.000

Results
theoretical density: 3.083 g cm⁻³
calculated formation energy: 0.498 eV/atom


Record 4
Entry from Alexandria: a geometry-optimized Pm8TmPb6 structure (PBE-GGA).

a b c (Å): 9.366 9.366 8.582
angles (deg): 56.93 56.93 60.00
Fractional coordinates of all 15 atoms:
Pm1 0.560 0.234 0.308
Pm2 0.766 0.102 0.692
Pm3 0.102 0.440 0.692
Pm4 0.666 0.666 0.001
Pm5 0.334 0.334 0.999
Pm6 0.898 0.560 0.308
Pm7 0.234 0.898 0.308
Pm8 0.440 0.766 0.692
Tm1 0.000 0.000 0.000
Pb1 0.396 0.069 0.794
Pb2 0.931 0.259 0.206
Pb3 0.259 0.604 0.206
Pb4 0.741 0.396 0.794
Pb5 0.069 0.741 0.794
Pb6 0.604 0.931 0.206

Results
theoretical density: 8.436 g cm⁻³
calculated formation energy: -0.383 eV/atom


Record 5
Entry from Alexandria: a geometry-optimized BiHSeBr2 structure (PBE-GGA).

a b c (Å): 4.676 4.676 4.809
angles (deg): 90.00 90.00 90.00
Fractional coordinates of all 5 atoms:
H1 0.000 0.000 0.000
Se1 0.000 0.000 0.500
Bi1 0.500 0.500 0.500
Br1 0.000 0.500 0.000
Br2 0.500 0.000 0.000

Results
theoretical density: 7.087 g cm⁻³
raw total energy: -2.4080 eV/atom


Record 6
Entry from Alexandria: a geometry-optimized Pr4Ho4Er structure (PBE-GGA).

a b c (Å): 5.661 8.998 8.986
angles (deg): 44.50 71.65 71.67
Fractional coordinates of all 9 atoms:
Pr1 0.280 0.154 0.285
Pr2 0.720 0.846 0.715
Pr3 0.867 0.309 0.956
Pr4 0.133 0.691 0.044
Ho1 0.620 0.426 0.334
Ho2 0.929 0.769 0.373
Ho3 0.380 0.574 0.666
Ho4 0.071 0.231 0.627
Er1 0.500 0.000 0.000

Results
theoretical density: 7.653 g cm⁻³
calculated formation energy: 0.107 eV/atom